Computed, not measured: a relaxed structure of Zr4V6O19 at the PBE+U level of DFT.

Cell lengths 7.5580, 7.5580, 7.5580 Å; angles 109.47, 109.47, 109.47 degrees
Closest atoms and distances in Å follow each position.
Fractional positions:
Zr (0.0000, 0.0000, 0.7016)  4 O 2.05-2.26
Zr (0.0000, 0.7016, 0.0000)  4 O 2.05-2.26
Zr (0.2984, 0.2984, 0.2984)  4 O 2.05-2.26
Zr (0.7016, 0.0000, 0.0000)  4 O 2.05-2.26
V (0.1631, 0.6631, 0.5000)  6 O 1.93-2.02
V (0.3369, 0.5000, 0.8369)  6 O 1.93-2.02
V (0.5000, 0.1631, 0.6631)  6 O 1.93-2.02
V (0.5000, 0.8369, 0.3369)  6 O 1.93-2.02
V (0.6631, 0.5000, 0.1631)  6 O 1.93-2.02
V (0.8369, 0.3369, 0.5000)  6 O 1.93-2.02
O (0.0000, 0.0000, 0.0000)  4 Zr 2.26
O (0.0000, 0.3363, 0.3363)  2 V 2.02
O (0.0000, 0.6637, 0.6637)  2 V 2.02
O (0.0267, 0.2580, 0.6566)  2 V 1.93-2.01, 1 Zr 2.05
O (0.2313, 0.9733, 0.6298)  2 V 1.93-2.01, 1 Zr 2.05
O (0.2580, 0.6566, 0.0267)  2 V 1.93-2.01, 1 Zr 2.05
O (0.3363, 0.0000, 0.3363)  2 V 2.02
O (0.3363, 0.3363, 0.0000)  2 V 2.02
O (0.3434, 0.6015, 0.3702)  2 V 1.93-2.01, 1 Zr 2.05
O (0.3702, 0.3434, 0.6015)  2 V 1.93-2.01, 1 Zr 2.05
O (0.3985, 0.7420, 0.7687)  2 V 1.93-2.01, 1 Zr 2.05
O (0.6015, 0.3702, 0.3434)  2 V 1.93-2.01, 1 Zr 2.05
O (0.6298, 0.2313, 0.9733)  2 V 1.93-2.01, 1 Zr 2.05
O (0.6566, 0.0267, 0.2580)  2 V 1.93-2.01, 1 Zr 2.05
O (0.6637, 0.0000, 0.6637)  2 V 2.02
O (0.6637, 0.6637, 0.0000)  2 V 2.02
O (0.7420, 0.7687, 0.3985)  2 V 1.93-2.01, 1 Zr 2.05
O (0.7687, 0.3985, 0.7420)  2 V 1.93-2.01, 1 Zr 2.05
O (0.9733, 0.6298, 0.2313)  2 V 1.93-2.01, 1 Zr 2.05

Output
SG = No. 197
Energy = -8.3433 eV per atom
Total magnetization = 8.00 μB/cell